A relaxed NaAsOsPb crystal, computed with GGA-PBE.

Computed properties:
* distance to the lowest polymorph of the same formula: 425 meV/atom

Cell lengths 4.844, 4.844, 4.844 Å; angles 60.00, 60.00, 60.00 degrees
Sites, in units of the cell vectors:
As1 0.500 0.500 0.500
Na1 0.750 0.750 0.750
Os1 0.000 0.000 0.000
Pb1 0.250 0.250 0.250



A relaxed CsLiTePd crystal, computed with GGA-PBE.

Computed properties:
* distance to the lowest polymorph of the same formula: 280 meV/atom

Cell lengths 5.566, 5.566, 5.566 Å; angles 60.00, 60.00, 60.00 degrees
Sites, in units of the cell vectors:
Cs1 0.250 0.250 0.250
Li1 0.750 0.750 0.750
Pd1 0.500 0.500 0.500
Te1 0.000 0.000 0.000



A relaxed YGa2Cu crystal, computed with GGA-PBE.

Computed properties:
* electronic total energy: -4.35 eV per atom

Cell lengths 4.686, 4.686, 4.686 Å; angles 60.00, 60.00, 60.00 degrees
Sites, in units of the cell vectors:
Cu1 0.500 0.500 0.500
Ga1 0.000 0.000 0.000
Ga2 0.250 0.250 0.250
Y1 0.750 0.750 0.750



A relaxed Sm2Al2O5 crystal, computed with GGA-PBE.

Computed properties:
* distance to the lowest polymorph of the same formula: 0 meV/atom

Cell lengths 7.174, 3.739, 3.739 Å; angles 90.00, 90.00, 90.00 degrees
Sites, in units of the cell vectors:
Al1 0.237 0.500 0.500
Al2 0.763 0.500 0.500
O1 0.245 0.500 0.000
O2 0.755 0.500 0.000
O3 0.245 0.000 0.500
O4 0.755 0.000 0.500
O5 0.500 0.500 0.500
Sm1 0.000 0.000 0.000
Sm2 0.500 0.000 0.000



A relaxed ErBiPd crystal, computed with GGA-PBE.

Computed properties:
* electronic total energy: -5.53 eV per atom

Cell lengths 4.718, 4.718, 4.718 Å; angles 60.00, 60.00, 60.00 degrees
Sites, in units of the cell vectors:
Bi1 0.500 0.500 0.500
Er1 0.000 0.000 0.000
Pd1 0.250 0.250 0.250



A relaxed CdReAsO crystal, computed with GGA-PBE.

Computed properties:
* distance to the lowest polymorph of the same formula: 246 meV/atom

Cell lengths 3.929, 3.929, 8.775 Å; angles 90.00, 90.00, 90.00 degrees
Sites, in units of the cell vectors:
As1 0.750 0.750 0.309
As2 0.250 0.250 0.691
Cd1 0.250 0.250 0.113
Cd2 0.750 0.750 0.887
O1 0.750 0.250 0.000
O2 0.250 0.750 0.000
Re1 0.750 0.250 0.500
Re2 0.250 0.750 0.500



A relaxed PrB4Au crystal, computed with GGA-PBE.

Computed properties:
* distance to the lowest polymorph of the same formula: 140 meV/atom

Cell lengths 3.266, 3.266, 7.569 Å; angles 90.00, 90.00, 120.00 degrees
Sites, in units of the cell vectors:
Au1 0.000 0.000 0.500
B1 0.667 0.333 0.270
B2 0.333 0.667 0.270
B3 0.667 0.333 0.730
B4 0.333 0.667 0.730
Pr1 0.000 0.000 0.000



A relaxed LiCuI2 crystal, computed with GGA-PBE.

Computed properties:
* electronic total energy: -2.85 eV per atom

Cell lengths 4.367, 4.367, 7.199 Å; angles 90.00, 90.00, 120.00 degrees
Sites, in units of the cell vectors:
Cu1 0.000 0.000 0.501
I1 0.000 0.000 0.134
I2 0.667 0.333 0.614
Li1 0.667 0.333 0.001



A relaxed KHfBeS3 crystal, computed with GGA-PBE.

Computed properties:
* distance to the lowest polymorph of the same formula: 0 meV/atom

Cell lengths 8.786, 3.584, 8.887 Å; angles 90.00, 112.32, 90.00 degrees
Sites, in units of the cell vectors:
Be1 0.582 0.750 0.105
Be2 0.418 0.250 0.895
Hf1 0.849 0.250 0.369
Hf2 0.151 0.750 0.631
K1 0.298 0.250 0.266
K2 0.702 0.750 0.734
S1 0.680 0.250 0.037
S2 0.032 0.750 0.323
S3 0.627 0.750 0.351
S4 0.373 0.250 0.649
S5 0.968 0.250 0.677
S6 0.320 0.750 0.963



A relaxed CsErTh crystal, computed with GGA-PBE.

Computed properties:
* distance to the lowest polymorph of the same formula: 23 meV/atom

Cell lengths 5.498, 5.498, 5.498 Å; angles 60.00, 60.00, 60.00 degrees
Sites, in units of the cell vectors:
Cs1 0.000 0.000 0.000
Er1 0.750 0.750 0.750
Th1 0.250 0.250 0.250



A relaxed TmAgPbSe3 crystal, computed with GGA-PBE.

Computed properties:
* distance to the lowest polymorph of the same formula: 0 meV/atom

Cell lengths 13.711, 4.116, 10.877 Å; angles 90.00, 90.00, 90.00 degrees
Sites, in units of the cell vectors:
Ag1 0.991 0.750 0.091
Ag2 0.491 0.750 0.409
Ag3 0.509 0.250 0.591
Ag4 0.009 0.250 0.909
Pb1 0.774 0.250 0.042
Pb2 0.274 0.250 0.458
Pb3 0.726 0.750 0.542
Pb4 0.226 0.750 0.958
Se1 0.604 0.750 0.065
Se2 0.119 0.250 0.129
Se3 0.351 0.750 0.241
Se4 0.851 0.750 0.259
Se5 0.619 0.250 0.371
Se6 0.104 0.750 0.435
Se7 0.896 0.250 0.565
Se8 0.381 0.750 0.629
Se9 0.149 0.250 0.741
Se10 0.649 0.250 0.759
Se11 0.881 0.750 0.871
Se12 0.396 0.250 0.935
Tm1 0.484 0.250 0.170
Tm2 0.984 0.250 0.330
Tm3 0.016 0.750 0.670
Tm4 0.516 0.750 0.830



A relaxed Zn4PI2N crystal, computed with GGA-PBE.

Computed properties:
* electronic total energy: -3.01 eV per atom

Cell lengths 6.791, 6.791, 6.791 Å; angles 128.95, 128.95, 75.09 degrees
Sites, in units of the cell vectors:
I1 0.500 0.500 0.000
I2 0.750 0.250 0.500
N1 0.000 0.000 0.000
P1 0.250 0.750 0.500
Zn1 0.989 0.339 0.099
Zn2 0.110 0.011 0.350
Zn3 0.661 0.760 0.650
Zn4 0.240 0.890 0.901